Entry 1:
{
  "formula": "LiLa4Ag",
  "functional": "PBEsol",
  "state": "relaxed",
  "lattice": [[6.4108, 0.0000, 0.0000], [3.2054, 5.5519, 0.0000], [3.2054, 1.8506, 5.2344]],
  "species": ["Ag", "La", "La", "La", "La", "Li"],
  "frac_coords": [[0.0000, 0.0000, 0.0000], [0.8804, 0.3732, 0.3732], [0.3732, 0.3732, 0.8804], [0.3732, 0.8804, 0.3732], [0.3732, 0.3732, 0.3732], [0.7500, 0.7500, 0.7500]],
  "crystal_system": "cubic",
  "final_energy_ev_per_atom": -4.00,
  "space_group": "F-43m",
  "formation_energy_mev_per_atom": 445
}


Entry 2:
{
  "formula": "MnAlTc2",
  "functional": "PBEsol",
  "state": "relaxed",
  "lattice": [[3.0112, 0.0000, 0.0000], [0.0000, 4.1624, 0.0000], [-1.5056, -2.0812, 4.1369]],
  "species": ["Tc", "Tc", "Al", "Mn"],
  "frac_coords": [[0.2561, 0.2561, 0.5123], [0.7439, 0.7439, 0.4877], [0.5000, 0.0000, 0.0000], [0.0000, 0.5000, 0.0000]],
  "crystal_system": "orthorhombic",
  "final_energy_ev_per_atom": -9.23,
  "space_group": "Immm",
  "formation_energy_mev_per_atom": -133
}


Entry 3:
{
  "formula": "ZnSb5",
  "functional": "PBEsol",
  "state": "relaxed",
  "lattice": [[6.1292, 0.0000, 0.0000], [3.0646, 5.3080, 0.0000], [3.0646, 1.7693, 5.0044]],
  "species": ["Sb", "Sb", "Sb", "Sb", "Sb", "Zn"],
  "frac_coords": [[0.2500, 0.2500, 0.2500], [0.6254, 0.6254, 0.6254], [0.6254, 0.1238, 0.6254], [0.6254, 0.6254, 0.1238], [0.1238, 0.6254, 0.6254], [0.0000, 0.0000, 0.0000]],
  "crystal_system": "cubic",
  "final_energy_ev_per_atom": -3.62,
  "formation_energy_uncorrected_ev_per_atom": 0.44,
  "space_group": "F-43m"
}


Entry 4:
{
  "formula": "SrIn2W",
  "functional": "PBEsol",
  "state": "relaxed",
  "lattice": [[-2.8400, 0.6941, -0.6499], [0.1830, -1.0801, 4.9477], [1.3943, 6.2631, 0.5962]],
  "species": ["Sr", "W", "In", "In"],
  "frac_coords": [[0.5000, 0.0000, 0.0000], [0.0000, 0.0000, 0.5000], [0.2605, 0.5211, 0.2999], [0.7395, 0.4789, 0.7001]],
  "crystal_system": "monoclinic",
  "final_energy_ev_per_atom": -4.95,
  "e_above_lowest_polymorph_mev_per_atom": 0,
  "space_group": "C2/m",
  "formation_energy_mev_per_atom": 450
}


Entry 5:
{
  "formula": "TmGa2Ni",
  "functional": "PBEsol",
  "state": "relaxed",
  "lattice": [[-4.0505, 0.0241, 0.2782], [1.8216, -4.1251, -2.7481], [0.3563, -3.5009, 5.4913]],
  "species": ["Ga", "Ga", "Ga", "Ga", "Ni", "Ni", "Tm", "Tm"],
  "frac_coords": [[0.1406, 0.2813, 0.4468], [0.8594, 0.7187, 0.5532], [0.8594, 0.7187, 0.9468], [0.1406, 0.2813, 0.0532], [0.7091, 0.4182, 0.2500], [0.2909, 0.5818, 0.7500], [0.4259, 0.8518, 0.2500], [0.5741, 0.1482, 0.7500]],
  "crystal_system": "orthorhombic",
  "final_energy_ev_per_atom": -5.14,
  "space_group": "Cmcm",
  "formation_energy_mev_per_atom": -710
}


Entry 6:
{
  "formula": "SrSc2Fe",
  "functional": "PBEsol",
  "state": "relaxed",
  "lattice": [[-0.8829, 2.7712, -2.0144], [-0.2388, -2.1249, -2.8186], [-7.5277, -1.2497, 1.5799]],
  "species": ["Sc", "Sc", "Sr", "Fe"],
  "frac_coords": [[0.0000, 0.0000, 0.9416], [0.5000, 0.5000, 0.1748], [0.0000, 0.0000, 0.5404], [0.5000, 0.5000, 0.8432]],
  "crystal_system": "tetragonal",
  "final_energy_ev_per_atom": -5.75,
  "space_group": "P4mm",
  "formation_energy_mev_per_atom": 254
}


Entry 7:
{
  "formula": "La4FeCo3O12",
  "functional": "PBEsol",
  "state": "relaxed",
  "lattice": [[5.3455, 0.0059, 0.0214], [-0.0118, 5.4228, 0.0228], [-0.1637, -0.0286, 7.5836]],
  "species": ["O", "O", "O", "O", "O", "O", "O", "O", "O", "O", "O", "O", "Fe", "La", "La", "La", "La", "Co", "Co", "Co"],
  "frac_coords": [[0.5021, 0.5517, 0.7531], [0.7224, 0.7780, 0.0326], [0.2776, 0.2220, 0.9674], [0.7438, 0.2388, 0.5254], [0.2562, 0.7612, 0.4746], [0.9911, 0.9383, 0.7505], [0.0089, 0.0617, 0.2495], [0.7598, 0.7447, 0.4702], [0.7776, 0.2770, 0.9713], [0.2224, 0.7230, 0.0287], [0.2402, 0.2553, 0.5298], [0.4979, 0.4483, 0.2469], [0.5000, 0.5000, 0.5000], [0.0085, 0.4967, 0.7518], [0.5092, 0.9998, 0.7509], [0.9915, 0.5033, 0.2482], [0.4908, 0.0002, 0.2491], [0.5000, 0.5000, 0.0000], [0.0000, 0.0000, 0.0000], [0.0000, 0.0000, 0.5000]],
  "crystal_system": "triclinic",
  "final_energy_ev_per_atom": -8.17,
  "formation_energy_uncorrected_ev_per_atom": -2.34,
  "space_group": "P-1"
}


Entry 8:
{
  "formula": "Be2AsPt",
  "functional": "PBEsol",
  "state": "relaxed",
  "lattice": [[-1.1343, -0.7375, 2.5098], [-1.1368, -2.5921, 0.3442], [5.6291, -3.6254, 3.0983]],
  "species": ["As", "Pt", "Be", "Be"],
  "frac_coords": [[0.0000, 0.0000, 0.0000], [0.5000, 0.5000, 0.5000], [0.7540, 0.7540, 0.7380], [0.2460, 0.2460, 0.2620]],
  "crystal_system": "trigonal",
  "final_energy_ev_per_atom": -5.07,
  "space_group": "R-3m",
  "formation_energy_mev_per_atom": -54
}


Entry 9:
{
  "formula": "LiTc2",
  "functional": "PBEsol",
  "state": "relaxed",
  "lattice": [[2.5645, 0.0000, 0.0000], [0.0000, 4.2032, 0.0000], [-1.2823, -2.1016, 3.6734]],
  "species": ["Tc", "Tc", "Li"],
  "frac_coords": [[0.6645, 0.6645, 0.3291], [0.3355, 0.3355, 0.6709], [0.0000, 0.0000, 0.0000]],
  "crystal_system": "orthorhombic",
  "final_energy_ev_per_atom": -7.92,
  "e_above_lowest_polymorph_mev_per_atom": 92,
  "space_group": "Immm",
  "formation_energy_mev_per_atom": 242
}


Entry 10:
{
  "formula": "Ba2TaPt",
  "functional": "PBEsol",
  "state": "relaxed",
  "lattice": [[3.8839, 0.0000, 0.0000], [0.0000, 5.4862, 0.0000], [-1.9420, -2.7431, 5.8842]],
  "species": ["Ta", "Pt", "Ba", "Ba"],
  "frac_coords": [[0.1838, 0.6838, 0.3675], [0.5566, 0.5566, 0.1132], [0.7742, 0.2742, 0.5484], [0.9854, 0.9854, 0.9709]],
  "crystal_system": "orthorhombic",
  "final_energy_ev_per_atom": -5.72,
  "e_above_lowest_polymorph_mev_per_atom": 92,
  "space_group": "Imm2",
  "formation_energy_mev_per_atom": 233
}


Entry 11:
{
  "formula": "Ta4Os5",
  "functional": "PBEsol",
  "state": "relaxed",
  "lattice": [[3.9357, 0.0000, 0.0000], [1.9678, 5.9717, 0.0000], [1.9678, 0.0000, 5.9717]],
  "species": ["Os", "Os", "Os", "Os", "Os", "Ta", "Ta", "Ta", "Ta"],
  "frac_coords": [[0.6636, 0.0000, 0.6727], [0.0000, 0.0000, 0.0000], [0.3364, 0.3273, 0.0000], [0.3364, 0.0000, 0.3273], [0.6636, 0.6727, 0.0000], [0.3141, 0.6859, 0.6859], [0.0000, 0.3141, 0.6859], [0.0000, 0.6859, 0.3141], [0.6859, 0.3141, 0.3141]],
  "crystal_system": "tetragonal",
  "final_energy_ev_per_atom": -12.58,
  "space_group": "I4/mmm",
  "formation_energy_mev_per_atom": -210
}


Entry 12:
{
  "formula": "Zn3CuAu",
  "functional": "PBEsol",
  "state": "relaxed",
  "lattice": [[4.7700, 0.0000, 0.0000], [0.0000, 4.7700, 0.0000], [0.0000, 0.0000, 4.7700]],
  "species": ["Zn", "Zn", "Zn", "Cu", "Au"],
  "frac_coords": [[0.0000, 0.0000, 0.5000], [0.5000, 0.0000, 0.0000], [0.0000, 0.5000, 0.0000], [0.5000, 0.5000, 0.5000], [0.0000, 0.0000, 0.0000]],
  "crystal_system": "cubic",
  "final_energy_ev_per_atom": -2.00,
  "space_group": "Pm-3m",
  "formation_energy_mev_per_atom": 599
}


Entry 13:
{
  "formula": "In2MoRh",
  "functional": "PBEsol",
  "state": "relaxed",
  "lattice": [[-1.7066, -0.4894, 4.2173], [4.4348, -0.9001, -0.7922], [3.2222, 2.8103, 1.6300]],
  "species": ["In", "In", "Mo", "Rh"],
  "frac_coords": [[0.2500, 0.5000, 0.2500], [0.7500, 0.5000, 0.7500], [0.5000, 0.0000, 0.5000], [0.0000, 0.0000, 0.0000]],
  "crystal_system": "tetragonal",
  "final_energy_ev_per_atom": -6.30,
  "e_above_lowest_polymorph_mev_per_atom": 99,
  "space_group": "I4/mmm",
  "formation_energy_mev_per_atom": 170
}


Entry 14:
{
  "formula": "TiRe3N",
  "functional": "PBEsol",
  "state": "relaxed",
  "lattice": [[4.0428, 0.0000, 0.0000], [0.0000, 4.0428, 0.0000], [0.0000, 0.0000, 4.0428]],
  "species": ["Re", "Re", "Re", "N", "Ti"],
  "frac_coords": [[0.0000, 0.0000, 0.5000], [0.5000, 0.0000, 0.0000], [0.0000, 0.5000, 0.0000], [0.0000, 0.0000, 0.0000], [0.5000, 0.5000, 0.5000]],
  "crystal_system": "cubic",
  "final_energy_ev_per_atom": -11.43,
  "formation_energy_uncorrected_ev_per_atom": -0.06,
  "space_group": "Pm-3m"
}


Entry 15:
{
  "formula": "FeAgPt2",
  "functional": "PBEsol",
  "state": "relaxed",
  "lattice": [[-0.8817, 2.5981, 0.1983], [-2.1654, -0.8470, 1.4699], [4.0382, 0.8777, 6.4546]],
  "species": ["Fe", "Ag", "Pt", "Pt"],
  "frac_coords": [[0.5000, 0.5000, 0.5000], [0.5000, 0.5000, 0.0000], [0.0000, 0.0000, 0.2741], [0.0000, 0.0000, 0.7259]],
  "crystal_system": "tetragonal",
  "final_energy_ev_per_atom": -6.67,
  "space_group": "P4/mmm",
  "formation_energy_mev_per_atom": -116
}


Entry 16:
{
  "formula": "YTlH3",
  "functional": "PBEsol",
  "state": "relaxed",
  "lattice": [[-3.1626, -0.2260, 2.6666], [2.6751, -0.1491, 3.1600], [-0.0764, 4.1341, 0.2597]],
  "species": ["Y", "H", "H", "H", "Tl"],
  "frac_coords": [[0.0000, 0.0000, 0.0000], [0.0000, 0.0000, 0.5000], [0.0000, 0.5000, 0.0000], [0.5000, 0.0000, 0.0000], [0.5000, 0.5000, 0.5000]],
  "crystal_system": "cubic",
  "final_energy_ev_per_atom": -4.06,
  "space_group": "Pm-3m"
}


Entry 17:
{
  "formula": "Y2InAs",
  "functional": "PBEsol",
  "state": "relaxed",
  "lattice": [[-0.9224, 3.3884, 1.1215], [0.8608, -0.9129, 3.4663], [6.4700, 2.1092, -1.0512]],
  "species": ["In", "As", "Y", "Y"],
  "frac_coords": [[0.5000, 0.5000, 0.5000], [0.5000, 0.5000, 0.0000], [0.0000, 0.0000, 0.2281], [0.0000, 0.0000, 0.7719]],
  "crystal_system": "tetragonal",
  "final_energy_ev_per_atom": -6.26,
  "e_above_lowest_polymorph_mev_per_atom": 147,
  "space_group": "P4/mmm",
  "formation_energy_mev_per_atom": -828
}


Entry 18:
{
  "formula": "ZrTa2Rh",
  "functional": "PBEsol",
  "state": "relaxed",
  "lattice": [[3.2413, 0.0000, 0.0000], [0.0000, 3.2413, 0.0000], [0.0000, 0.0000, 6.6185]],
  "species": ["Ta", "Ta", "Rh", "Zr"],
  "frac_coords": [[0.5000, 0.5000, 0.2388], [0.0000, 0.0000, 0.9934], [0.5000, 0.5000, 0.7601], [0.0000, 0.0000, 0.5077]],
  "crystal_system": "tetragonal",
  "final_energy_ev_per_atom": -10.90,
  "space_group": "P4mm",
  "formation_energy_mev_per_atom": -317
}


Entry 19:
{
  "formula": "Cd2MoW",
  "functional": "PBEsol",
  "state": "relaxed",
  "lattice": [[2.7168, 0.0000, 0.0000], [0.0000, 5.1522, 0.0233], [-1.3584, -0.6446, 4.8927]],
  "species": ["Cd", "Cd", "W", "Mo"],
  "frac_coords": [[0.2499, 0.2494, 0.4997], [0.7501, 0.7506, 0.5003], [0.0000, 0.5000, 0.0000], [0.5000, 0.0000, 0.0000]],
  "crystal_system": "monoclinic",
  "final_energy_ev_per_atom": -6.40,
  "e_above_lowest_polymorph_mev_per_atom": 133,
  "space_group": "C2/m",
  "formation_energy_mev_per_atom": 595
}


Entry 20:
{
  "formula": "Cd2ReBiIr",
  "functional": "PBEsol",
  "state": "relaxed",
  "lattice": [[5.0460, 0.0000, 0.0000], [0.0000, 5.1923, 0.0000], [0.0000, 0.0000, 5.1923]],
  "species": ["Bi", "Cd", "Cd", "Ir", "Re"],
  "frac_coords": [[0.0000, 0.0000, 0.0000], [0.0000, 0.0000, 0.5000], [0.0000, 0.5000, 0.0000], [0.5000, 0.5000, 0.5000], [0.5000, 0.0000, 0.0000]],
  "crystal_system": "tetragonal",
  "final_energy_ev_per_atom": -3.45,
  "space_group": "P4/mmm",
  "formation_energy_mev_per_atom": 2518
}